Record 1
Sc2GaGe2Ru5 | PBE-GGA | relaxed

a = 9.784 Å, b = 9.784 Å, c = 3.293 Å
α = 90.00°, β = 90.00°, γ = 90.00°
Fractional positions:
Sc (0.170, 0.330, 0.000)
Sc (0.330, 0.830, 0.000)
Sc (0.670, 0.170, 0.000)
Sc (0.830, 0.670, 0.000)
Ga (0.000, 0.000, 0.000)
Ga (0.500, 0.500, 0.000)
Ge (0.132, 0.632, 0.000)
Ge (0.368, 0.132, 0.000)
Ge (0.632, 0.868, 0.000)
Ge (0.868, 0.368, 0.000)
Ru (0.000, 0.500, 0.500)
Ru (0.062, 0.801, 0.500)
Ru (0.199, 0.062, 0.500)
Ru (0.301, 0.562, 0.500)
Ru (0.438, 0.301, 0.500)
Ru (0.500, 0.000, 0.500)
Ru (0.562, 0.699, 0.500)
Ru (0.699, 0.438, 0.500)
Ru (0.801, 0.938, 0.500)
Ru (0.938, 0.199, 0.500)

Results
The density of states at the Fermi level comes out at 1.0686 states/eV/atom. The mass density is 8.54 Mg/m³.

=====

Record 2
AlPbCl2 | PBE-GGA | relaxed

a = 3.628 Å, b = 3.628 Å, c = 28.437 Å
α = 90.00°, β = 90.00°, γ = 120.00°
Fractional positions:
Al (0.000, 0.000, 0.000)
Al (0.333, 0.667, 0.667)
Al (0.667, 0.333, 0.333)
Pb (0.000, 0.000, 0.500)
Pb (0.333, 0.667, 0.167)
Pb (0.667, 0.333, 0.833)
Cl (0.000, 0.000, 0.399)
Cl (0.000, 0.000, 0.601)
Cl (0.333, 0.667, 0.065)
Cl (0.333, 0.667, 0.268)
Cl (0.667, 0.333, 0.732)
Cl (0.667, 0.333, 0.935)

Results
The density of states at the Fermi level comes out at 0.2911 states/eV/atom. As for the uncorrected formation energy: -45 kJ/mol of atoms. The mass density is 4.69 Mg/m³. The excess energy over the best structure of this formula in the dataset is 127.5 meV per atom.

=====

Record 3
ZrTcRu2 | PBE-GGA | relaxed

a = 3.194 Å, b = 4.562 Å, c = 8.758 Å
α = 90.00°, β = 90.00°, γ = 90.00°
Fractional positions:
Zr (0.000, 0.000, 0.000)
Zr (0.500, 0.500, 0.500)
Tc (0.000, 0.000, 0.500)
Tc (0.500, 0.500, 0.000)
Ru (0.000, 0.500, 0.246)
Ru (0.000, 0.500, 0.754)
Ru (0.500, 0.000, 0.254)
Ru (0.500, 0.000, 0.746)

Results
The density of states at the Fermi level comes out at 1.5072 states/eV/atom. The mass density is 10.19 Mg/m³. The excess energy over the best structure of this formula in the dataset is 80.7 meV per atom.

=====

Record 4
Cr2PtCl | PBE-GGA | relaxed

a = 2.853 Å, b = 2.853 Å, c = 27.346 Å
α = 90.00°, β = 90.00°, γ = 120.00°
Fractional positions:
Cr (0.000, 0.000, 0.000)
Cr (0.000, 0.000, 0.261)
Cr (0.333, 0.667, 0.667)
Cr (0.333, 0.667, 0.927)
Cr (0.667, 0.333, 0.333)
Cr (0.667, 0.333, 0.594)
Pt (0.000, 0.000, 0.743)
Pt (0.333, 0.667, 0.409)
Pt (0.667, 0.333, 0.076)
Cl (0.000, 0.000, 0.534)
Cl (0.333, 0.667, 0.201)
Cl (0.667, 0.333, 0.867)

Results
The density of states at the Fermi level comes out at 0.8966 states/eV/atom. As for the uncorrected formation energy: 12 kJ/mol of atoms. The mass density is 8.65 Mg/m³. The excess energy over the best structure of this formula in the dataset is 132.2 meV per atom.

=====

E_tot readings, ordered: -151.5; -39.0; -74.8; -79.9 eV/cell